Entry 1:
Material: ScTl3Cl6
Method: DFT, PBE
State: optimized geometry

```
ScTl3Cl6
1.0
7.323 0.000 0.124
0.000 8.082 0.000
0.268 0.000 10.718
Cl Tl Sc
12 6 2
direct
0.784 0.663 0.539
0.716 0.163 0.961
0.284 0.837 0.039
0.844 0.740 0.931
0.656 0.240 0.569
0.116 0.054 0.780
0.156 0.260 0.069
0.384 0.554 0.720
0.616 0.446 0.280
0.344 0.760 0.431
0.884 0.946 0.220
0.216 0.337 0.461
0.526 0.930 0.762
0.026 0.570 0.262
0.500 0.500 0.000
0.474 0.070 0.238
0.974 0.430 0.738
0.000 0.000 0.500
0.000 0.000 0.000
0.500 0.500 0.500
```

Computed properties:
The total energy comes out at -3.94 eV per atom. Its magnetization is 0.00 μB per cell.



Entry 2:
Material: Tl12Hg5Sb3
Method: DFT, PBE
State: optimized geometry

```
Tl12Hg5Sb3
1.0
15.841 0.000 0.000
-5.280 14.935 0.000
-5.280 -7.467 12.934
Tl Hg Sb
48 20 12
direct
0.774 0.335 0.913
0.913 0.078 0.638
0.413 0.138 0.578
0.087 0.165 0.226
0.578 0.940 0.665
0.138 0.413 0.078
0.922 0.087 0.862
0.913 0.835 0.774
0.422 0.060 0.335
0.362 0.940 0.774
0.165 0.078 0.940
0.665 0.226 0.587
0.940 0.578 0.165
0.922 0.835 0.560
0.665 0.440 0.578
0.578 0.638 0.413
0.078 0.913 0.138
0.440 0.774 0.862
0.560 0.226 0.138
0.165 0.087 0.726
0.335 0.560 0.422
0.226 0.665 0.087
0.835 0.913 0.274
0.440 0.665 0.078
0.335 0.774 0.413
0.726 0.138 0.060
0.078 0.165 0.440
0.638 0.060 0.226
0.226 0.560 0.638
0.862 0.587 0.922
0.087 0.922 0.362
0.362 0.422 0.087
0.274 0.862 0.940
0.587 0.726 0.665
0.862 0.274 0.440
0.940 0.362 0.274
0.422 0.362 0.587
0.835 0.922 0.060
0.638 0.578 0.913
0.726 0.587 0.165
0.560 0.335 0.922
0.060 0.422 0.835
0.274 0.413 0.835
0.587 0.862 0.422
0.774 0.440 0.362
0.138 0.726 0.560
0.060 0.638 0.726
0.413 0.274 0.335
0.375 0.250 0.125
0.750 0.625 0.375
0.625 0.750 0.875
0.125 0.375 0.250
0.000 0.500 0.000
0.000 0.500 0.500
0.500 0.500 0.500
0.250 0.375 0.625
0.125 0.750 0.375
0.875 0.250 0.625
0.250 0.875 0.125
0.750 0.125 0.875
0.000 0.000 0.500
0.500 0.000 0.000
0.000 0.000 0.000
0.375 0.125 0.750
0.500 0.000 0.500
0.875 0.625 0.750
0.625 0.875 0.250
0.500 0.500 0.000
0.375 0.750 0.625
0.125 0.250 0.875
0.625 0.250 0.375
0.375 0.625 0.250
0.875 0.750 0.125
0.875 0.125 0.250
0.750 0.875 0.625
0.625 0.375 0.750
0.750 0.375 0.125
0.250 0.125 0.375
0.250 0.625 0.875
0.125 0.875 0.750
```

Computed properties:
The total energy comes out at -2.04 eV per atom. Its magnetization is 0.00 μB per cell.



Entry 3:
Material: VGa2GeB
Method: DFT, PBE
State: optimized geometry

```
VGa2GeB
1.0
-1.056 4.842 1.138
-3.492 -0.580 -0.772
-0.850 -1.322 4.836
B Ga V Ge
1 2 1 1
direct
0.000 0.500 0.000
0.500 0.000 0.000
0.000 0.000 0.500
0.500 0.500 0.500
0.000 0.000 0.000
```

Computed properties:
The total energy comes out at -3.97 eV per atom. Its magnetization is 0.16 μB per cell.



Please write out number 3 again, unchanged.
Material: VGa2GeB
Method: DFT, PBE
State: optimized geometry

```
VGa2GeB
1.0
-1.056 4.842 1.138
-3.492 -0.580 -0.772
-0.850 -1.322 4.836
B Ga V Ge
1 2 1 1
direct
0.000 0.500 0.000
0.500 0.000 0.000
0.000 0.000 0.500
0.500 0.500 0.500
0.000 0.000 0.000
```

Computed properties:
The total energy comes out at -3.97 eV per atom. Its magnetization is 0.16 μB per cell.



Which value of magnetization does entry 1 give?
0.00 μB per cell